GaMo2O8 GGA+U relaxed; V = 183.69 Å³ per cell; raw total energy = -72.3 eV for the cell shown; total magnetization = 1.10 μB/cell
1.0
-5.504 0.002 3.364
2.428 -3.344 3.975
0.297 5.706 0.483
O Mo Ga
8 2 1
Direct
0.676 0.839 0.161 O
0.324 0.161 0.839 O
0.676 0.323 0.161 O
0.676 0.839 0.677 O
0.324 0.161 0.323 O
0.039 0.667 0.333 O
0.961 0.333 0.667 O
0.324 0.677 0.839 O
0.231 0.333 0.667 Mo
0.769 0.667 0.333 Mo
0.500 0.000 0.000 Ga